Density functional theory data (PBE-GGA) for BSbMoP2 after structural relaxation.

The structure belongs to space group P4/mmm (No. 123); the cell edges are 5.0764, 5.0764 and 5.2486 Å and the angles 90.00°, 90.00° and 90.00°. Symmetry generates all atoms from B at (0.0000, 0.0000, 0.0000), Sb at (0.5000, 0.5000, 0.5000), Mo at (0.5000, 0.5000, 0.0000) and P at (0.0000, 0.5000, 0.5000).

The value obtained for the final energy is -4.0845 eV/atom. The energy relative to the elements, uncorrected comes out at 2406 meV per atom.